First-principles (PBE) data for HoZr2Mo after structural relaxation, as listed in Alexandria via LeMat-Bulk.

a b c (Å): 3.2543 3.2543 10.5739
angles (deg): 81.15 81.15 60.00
Positions (direct):
Zr1 0.1011 0.1011 0.6966
Zr2 0.8989 0.8989 0.3034
Ho1 0.0000 0.0000 0.0000
Mo1 0.5000 0.5000 0.5000

Results
Spin magnetization: 0.001 μB/cell
Energy of formation: 0.335 eV per atom
Offset from the most stable computed form: 271 meV per atom

First-principles (PBE) data for Pm3CdHg3 after structural relaxation, as listed in Alexandria via LeMat-Bulk.

a b c (Å): 4.9409 3.6465 10.9706
angles (deg): 99.57 103.01 90.00
Positions (direct):
Hg1 0.1480 0.6480 0.2960
Hg2 0.5660 0.5660 0.1321
Cd1 0.4318 0.4318 0.8636
Pm1 0.0028 0.0028 0.0056
Pm2 0.6943 0.1943 0.3885
Pm3 0.3033 0.8033 0.6066
Hg3 0.8538 0.3538 0.7076

Results
Spin magnetization: 0.139 μB/cell
Energy of formation: -0.393 eV per atom
Offset from the most stable computed form: 0 meV per atom

First-principles (PBE) data for SiBiF2 after structural relaxation, as listed in Alexandria via LeMat-Bulk.

a b c (Å): 9.6582 9.6582 9.6582
angles (deg): 18.58 18.58 18.58
Positions (direct):
Si1 0.0000 0.0000 0.0000
Bi1 0.5000 0.5000 0.5000
F1 0.0586 0.0586 0.0586
F2 0.9414 0.9414 0.9414

Results
Energy relative to the elements, uncorrected: -1.243 eV/atom
Spin magnetization: 0.000 μB/cell
Offset from the most stable computed form: 0 meV per atom

First-principles (PBE) data for Ho3Bi2Pb after structural relaxation, as listed in Alexandria via LeMat-Bulk.

a b c (Å): 4.3726 6.3065 7.7973
angles (deg): 113.85 106.28 90.00
Positions (direct):
Ho1 0.3325 0.3325 0.6651
Bi1 0.3328 0.8328 0.6656
Ho2 0.0000 0.0000 0.0000
Ho3 0.6675 0.6675 0.3349
Pb1 0.0000 0.5000 0.0000
Bi2 0.6672 0.1672 0.3344

Results
Spin magnetization: 0.000 μB/cell
Energy of formation: -0.661 eV per atom
Offset from the most stable computed form: 0 meV per atom

First-principles (PBE) data for MnTcAs2 after structural relaxation, as listed in Alexandria via LeMat-Bulk.

a b c (Å): 2.9680 2.9680 7.7306
angles (deg): 90.00 90.00 114.43
Positions (direct):
As1 0.0000 0.0000 0.0042
Tc1 0.5000 0.5000 0.7500
As2 0.0000 0.0000 0.4958
Mn1 0.5000 0.5000 0.2500

Results
Spin magnetization: 2.584 μB/cell
Energy of formation: 0.279 eV per atom
Offset from the most stable computed form: 385 meV per atom

First-principles (PBE) data for BaGa2Te2 after structural relaxation, as listed in Alexandria via LeMat-Bulk.

a b c (Å): 5.7365 5.7365 6.2011
angles (deg): 62.45 62.45 90.00
Positions (direct):
Ba1 0.0000 0.0000 0.0000
Te1 0.7500 0.2500 0.5000
Ga1 0.6430 0.6430 0.7141
Te2 0.2500 0.7500 0.5000
Ga2 0.3570 0.3570 0.2859

Results
Energy relative to the elements, uncorrected: -0.654 eV/atom
Spin magnetization: 0.000 μB/cell
Offset from the most stable computed form: 0 meV per atom

First-principles (PBE) data for YMoRu after structural relaxation, as listed in Alexandria via LeMat-Bulk.

a b c (Å): 4.3394 4.6232 6.6333
angles (deg): 90.00 109.09 90.00
Positions (direct):
Y1 0.0845 0.7500 0.1691
Ru1 0.6524 0.2500 0.3049
Y2 0.9155 0.2500 0.8309
Mo1 0.2463 0.2500 0.4926
Ru2 0.3476 0.7500 0.6951
Mo2 0.7537 0.7500 0.5074

Results
Spin magnetization: 0.000 μB/cell
Energy of formation: 0.168 eV per atom
Offset from the most stable computed form: 334 meV per atom

First-principles (PBE) data for BaCrGaC2 after structural relaxation, as listed in Alexandria via LeMat-Bulk.

a b c (Å): 4.0593 4.0593 5.6709
angles (deg): 90.00 90.00 90.00
Positions (direct):
Ga1 0.0000 0.0000 0.0000
C1 0.0000 0.5000 0.0000
Cr1 0.5000 0.5000 0.5000
C2 0.5000 0.0000 0.0000
Ba1 0.0000 0.0000 0.5000

Results
Spin magnetization: 0.496 μB/cell
Energy of formation: 2.620 eV per atom